No. 1
The following is a GGA-PBE calculation of a relaxed K2Br3Cl6 crystal, from Alexandria via LeMat-Bulk.

Properties
* Fermi-level density of states: 0.433 states/eV per atom
* DFT total energy: -52.4 eV per cell
* E_form (uncorrected): -7.88 eV/f.u.
* ρ: 2036 kg/m3
* space-group type: C2/c

Lattice parameters (Å, degrees): 7.424 7.424 16.262 99.66 99.66 82.11
Sites, in units of the cell vectors:
K  0.198  0.709  0.988
K  0.291  0.802  0.512
K  0.709  0.198  0.488
K  0.802  0.291  0.012
Br  0.118  0.221  0.758
Br  0.221  0.118  0.258
Br  0.489  0.511  0.750
Br  0.511  0.489  0.250
Br  0.779  0.882  0.742
Br  0.882  0.779  0.242
Cl  0.089  0.164  0.607
Cl  0.153  0.277  0.908
Cl  0.164  0.089  0.107
Cl  0.277  0.153  0.408
Cl  0.429  0.451  0.600
Cl  0.451  0.429  0.100
Cl  0.549  0.571  0.900
Cl  0.571  0.549  0.400
Cl  0.723  0.847  0.592
Cl  0.836  0.911  0.893
Cl  0.847  0.723  0.092
Cl  0.911  0.836  0.393

No. 2
The following is a GGA-PBE calculation of a relaxed Hf2GeB crystal, from Alexandria via LeMat-Bulk.

Properties
* formation enthalpy at 0 K: -0.168 eV/atom
* Fermi-level density of states: 0.520 states/eV per atom
* DFT total energy: -127.5 eV per cell
* ρ: 10593 kg/m3
* relative energy among the computed polymorphs: 0.4065 eV per atom
* space-group type: I-42d

Lattice parameters (Å, degrees): 6.753 6.753 6.056 90.00 90.00 90.00
Sites, in units of the cell vectors:
Hf  0.210  0.250  0.125
Hf  0.250  0.710  0.375
Hf  0.250  0.790  0.875
Hf  0.290  0.250  0.625
Hf  0.710  0.750  0.625
Hf  0.750  0.210  0.875
Hf  0.750  0.290  0.375
Hf  0.790  0.750  0.125
Ge  0.000  0.000  0.500
Ge  0.000  0.500  0.750
Ge  0.500  0.000  0.250
Ge  0.500  0.500  0.000
B  0.000  0.000  0.000
B  0.000  0.500  0.250
B  0.500  0.000  0.750
B  0.500  0.500  0.500

No. 3
The following is a GGA-PBE calculation of a relaxed NdSmCuPb crystal, from Alexandria via LeMat-Bulk.

Properties
* formation enthalpy at 0 K: -0.306 eV/atom
* Fermi-level density of states: 1.058 states/eV per atom
* DFT total energy: -74.1 eV per cell
* ρ: 8716 kg/m3
* space-group type: F-43m

Lattice parameters (Å, degrees): 7.553 7.553 7.553 90.00 90.00 90.00
Sites, in units of the cell vectors:
Nd  0.000  0.000  0.000
Nd  0.000  0.500  0.500
Nd  0.500  0.000  0.500
Nd  0.500  0.500  0.000
Sm  0.000  0.000  0.500
Sm  0.000  0.500  0.000
Sm  0.500  0.000  0.000
Sm  0.500  0.500  0.500
Cu  0.250  0.250  0.250
Cu  0.250  0.750  0.750
Cu  0.750  0.250  0.750
Cu  0.750  0.750  0.250
Pb  0.250  0.250  0.750
Pb  0.250  0.750  0.250
Pb  0.750  0.250  0.250
Pb  0.750  0.750  0.750

No. 4
The following is a GGA-PBE calculation of a relaxed Pu3Cu8Sn crystal, from Alexandria via LeMat-Bulk.

Properties
* formation enthalpy at 0 K: -0.045 eV/atom
* Fermi-level density of states: 2.195 states/eV per atom
* DFT total energy: -80.3 eV per cell
* ρ: 11348 kg/m3
* space-group type: R3m

Lattice parameters (Å, degrees): 9.027 9.027 9.027 33.44 33.44 33.44
Sites, in units of the cell vectors:
Pu  0.000  0.000  0.000
Pu  0.123  0.123  0.123
Pu  0.497  0.497  0.497
Cu  0.059  0.561  0.561
Cu  0.062  0.062  0.560
Cu  0.062  0.560  0.062
Cu  0.310  0.310  0.310
Cu  0.560  0.062  0.062
Cu  0.561  0.059  0.561
Cu  0.561  0.561  0.059
Cu  0.810  0.810  0.810
Sn  0.623  0.623  0.623

No. 5
The following is a GGA-PBE calculation of a relaxed MnAgPb crystal, from Alexandria via LeMat-Bulk.

Properties
* formation enthalpy at 0 K: 0.340 eV/atom
* Fermi-level density of states: 0.637 states/eV per atom
* DFT total energy: -29.4 eV per cell
* ρ: 9620 kg/m3
* space-group type: I4mm

Lattice parameters (Å, degrees): 3.314 3.314 11.628 90.00 90.00 90.00
Sites, in units of the cell vectors:
Mn  0.000  0.000  0.000
Mn  0.500  0.500  0.500
Ag  0.000  0.000  0.631
Ag  0.500  0.500  0.131
Pb  0.000  0.000  0.323
Pb  0.500  0.500  0.823

No. 6
The following is a GGA-PBE calculation of a relaxed HfFe3Pt6 crystal, from Alexandria via LeMat-Bulk.

Properties
* formation enthalpy at 0 K: -0.478 eV/atom
* Fermi-level density of states: 0.662 states/eV per atom
* DFT total energy: -152.7 eV per cell
* ρ: 16547 kg/m3
* space-group type: P2_1/m

Lattice parameters (Å, degrees): 8.690 3.940 8.892 90.00 91.57 90.00
Sites, in units of the cell vectors:
Hf  0.065  0.250  0.379
Hf  0.935  0.750  0.621
Fe  0.256  0.250  0.998
Fe  0.347  0.750  0.805
Fe  0.446  0.250  0.607
Fe  0.554  0.750  0.393
Fe  0.653  0.250  0.195
Fe  0.744  0.750  0.002
Pt  0.061  0.750  0.905
Pt  0.152  0.250  0.701
Pt  0.160  0.750  0.200
Pt  0.258  0.750  0.507
Pt  0.374  0.250  0.307
Pt  0.460  0.750  0.100
Pt  0.540  0.250  0.900
Pt  0.626  0.750  0.693
Pt  0.742  0.250  0.493
Pt  0.840  0.250  0.800
Pt  0.848  0.750  0.299
Pt  0.939  0.250  0.095

No. 7
The following is a GGA-PBE calculation of a relaxed Y11Mg9Ag4 crystal, from Alexandria via LeMat-Bulk.

Properties
* formation enthalpy at 0 K: -0.177 eV/atom
* Fermi-level density of states: 1.106 states/eV per atom
* DFT total energy: -101.1 eV per cell
* ρ: 4273 kg/m3
* space-group type: Cmmm

Lattice parameters (Å, degrees): 13.568 13.568 3.740 90.00 90.00 113.22
Sites, in units of the cell vectors:
Y  0.000  0.000  0.000
Y  0.071  0.414  0.000
Y  0.160  0.840  0.000
Y  0.288  0.288  0.000
Y  0.362  0.638  0.000
Y  0.414  0.071  0.000
Y  0.586  0.929  0.000
Y  0.638  0.362  0.000
Y  0.712  0.712  0.000
Y  0.840  0.160  0.000
Y  0.929  0.586  0.000
Mg  0.063  0.213  0.500
Mg  0.150  0.633  0.500
Mg  0.213  0.063  0.500
Mg  0.367  0.850  0.500
Mg  0.500  0.500  0.500
Mg  0.633  0.150  0.500
Mg  0.787  0.937  0.500
Mg  0.850  0.367  0.500
Mg  0.937  0.787  0.500
Ag  0.255  0.450  0.500
Ag  0.450  0.255  0.500
Ag  0.550  0.745  0.500
Ag  0.745  0.550  0.500

No. 8
The following is a GGA-PBE calculation of a relaxed FeAg2Ir crystal, from Alexandria via LeMat-Bulk.

Properties
* formation enthalpy at 0 K: 0.379 eV/atom
* Fermi-level density of states: 0.989 states/eV per atom
* DFT total energy: -64.5 eV per cell
* ρ: 12405 kg/m3
* relative energy among the computed polymorphs: 0.1818 eV per atom
* space-group type: R-3m

Lattice parameters (Å, degrees): 2.744 2.744 28.563 90.00 90.00 120.00
Sites, in units of the cell vectors:
Fe  0.000  0.000  0.000
Fe  0.333  0.667  0.667
Fe  0.667  0.333  0.333
Ag  0.000  0.000  0.253
Ag  0.000  0.000  0.747
Ag  0.333  0.667  0.414
Ag  0.333  0.667  0.919
Ag  0.667  0.333  0.081
Ag  0.667  0.333  0.586
Ir  0.000  0.000  0.500
Ir  0.333  0.667  0.167
Ir  0.667  0.333  0.833

No. 9
The following is a GGA-PBE calculation of a relaxed KAs2 crystal, from Alexandria via LeMat-Bulk.

Properties
* formation enthalpy at 0 K: 0.689 eV/atom
* Fermi-level density of states: 0.937 states/eV per atom
* DFT total energy: -33.3 eV per cell
* ρ: 3586 kg/m3
* space-group type: Fm-3m

Lattice parameters (Å, degrees): 7.047 7.047 7.047 90.00 90.00 90.00
Sites, in units of the cell vectors:
K  0.000  0.000  0.000
K  0.000  0.500  0.500
K  0.500  0.000  0.500
K  0.500  0.500  0.000
As  0.250  0.250  0.250
As  0.250  0.250  0.750
As  0.250  0.750  0.250
As  0.250  0.750  0.750
As  0.750  0.250  0.250
As  0.750  0.250  0.750
As  0.750  0.750  0.250
As  0.750  0.750  0.750

No. 10
The following is a GGA-PBE calculation of a relaxed TbDySnPd crystal, from Alexandria via LeMat-Bulk.

Properties
* formation enthalpy at 0 K: -0.740 eV/atom
* Fermi-level density of states: 0.614 states/eV per atom
* DFT total energy: -85.6 eV per cell
* ρ: 9298 kg/m3
* space-group type: F-43m

Lattice parameters (Å, degrees): 7.309 7.309 7.309 90.00 90.00 90.00
Sites, in units of the cell vectors:
Tb  0.000  0.000  0.000
Tb  0.000  0.500  0.500
Tb  0.500  0.000  0.500
Tb  0.500  0.500  0.000
Dy  0.000  0.000  0.500
Dy  0.000  0.500  0.000
Dy  0.500  0.000  0.000
Dy  0.500  0.500  0.500
Sn  0.250  0.250  0.250
Sn  0.250  0.750  0.750
Sn  0.750  0.250  0.750
Sn  0.750  0.750  0.250
Pd  0.250  0.250  0.750
Pd  0.250  0.750  0.250
Pd  0.750  0.250  0.250
Pd  0.750  0.750  0.750